# 1
# La3AgAu (PBE-GGA, relaxed)
data_La3AgAu
_chemical_formula_sum 'La12 Ag4 Au4'
_cell_length_a 5.4011
_cell_length_b 20.0187
_cell_length_c 5.4122
_cell_angle_alpha 90.00
_cell_angle_beta 90.00
_cell_angle_gamma 90.00
_symmetry_space_group_name_H-M 'C m c m'
_symmetry_Int_Tables_number 63
_symmetry_space_group_name_Hall '-C 2c 2'
loop_
_atom_site_label
_atom_site_type_symbol
_atom_site_fract_x
_atom_site_fract_y
_atom_site_fract_z
_atom_site_occupancy
La1 La 0.0000 0.0636 0.2500 1
La2 La 0.0000 0.2491 0.2500 1
La3 La 0.0000 0.4348 0.2500 1
Ag1 Ag 0.0000 0.1538 0.7500 1
Au1 Au 0.0000 0.3437 0.7500 1
# Uncorrected energy   -4.59 eV/atom
# Excess energy over the best structure of this formula in the dataset   0.000 eV/atom
# M_tot   0.000 μB/atom
# ΔE_f   -407.8 meV/atom

=====

# 2
# La8Ag2Au (PBE-GGA, relaxed)
data_La8Ag2Au
_chemical_formula_sum 'La16 Ag4 Au2'
_cell_length_a 19.1393
_cell_length_b 5.3847
_cell_length_c 7.1728
_cell_angle_alpha 90.00
_cell_angle_beta 108.56
_cell_angle_gamma 90.00
_symmetry_space_group_name_H-M 'C 1 2/m 1'
_symmetry_Int_Tables_number 12
loop_
_symmetry_equiv_pos_as_xyz
'x,y,z'
'-x,-y,-z'
'-x,y,-z'
'x,-y,z'
'x+1/2,y+1/2,z'
'-x+1/2,-y+1/2,-z'
'-x+1/2,y+1/2,-z'
'x+1/2,-y+1/2,z'
loop_
_atom_site_label
_atom_site_type_symbol
_atom_site_fract_x
_atom_site_fract_y
_atom_site_fract_z
_atom_site_occupancy
La1 La 0.0185 0.0000 0.2786 1
La2 La 0.0897 0.5000 0.9675 1
La3 La 0.1682 0.5000 0.5060 1
La4 La 0.2011 0.0000 0.8313 1
Ag1 Ag 0.1718 0.0000 0.2330 1
Au1 Au 0.0000 0.5000 0.5000 1
# Uncorrected energy   -4.62 eV/atom
# M_tot   0.000 μB/atom
# ΔE_f   -218.7 meV/atom

=====

# 3
# LaAgAu4 (PBE-GGA, relaxed)
data_LaAgAu4
_chemical_formula_sum 'La1 Ag1 Au4'
_cell_length_a 4.7607
_cell_length_b 4.7607
_cell_length_c 6.6357
_cell_angle_alpha 90.00
_cell_angle_beta 90.00
_cell_angle_gamma 120.00
_symmetry_space_group_name_H-M 'P 6/m m m'
_symmetry_Int_Tables_number 191
_symmetry_space_group_name_Hall '-P 6 2'
loop_
_atom_site_label
_atom_site_type_symbol
_atom_site_fract_x
_atom_site_fract_y
_atom_site_fract_z
_atom_site_occupancy
La1 La 0.0000 0.0000 0.0000 1
Ag1 Ag 0.0000 0.0000 0.5000 1
Au1 Au 0.3333 0.6667 0.2769 1
# Uncorrected energy   -3.92 eV/atom
# Excess energy over the best structure of this formula in the dataset   0.011 eV/atom
# M_tot   0.000 μB/atom
# ΔE_f   -443.4 meV/atom

=====

# 4
# La2AgAu (PBE-GGA, relaxed)
data_La2AgAu
_chemical_formula_sum 'La6 Ag3 Au3'
_cell_length_a 4.3181
_cell_length_b 4.3181
_cell_length_c 23.1524
_cell_angle_alpha 90.00
_cell_angle_beta 90.00
_cell_angle_gamma 120.00
_symmetry_space_group_name_H-M 'R 3 m'
_symmetry_Int_Tables_number 160
_symmetry_space_group_name_Hall 'R 3 -2"'
loop_
_atom_site_label
_atom_site_type_symbol
_atom_site_fract_x
_atom_site_fract_y
_atom_site_fract_z
_atom_site_occupancy
La1 La 0.0000 0.0000 0.0000 1
La2 La 0.0000 0.0000 0.1766 1
Ag1 Ag 0.0000 0.0000 0.4222 1
Au1 Au 0.0000 0.0000 0.5876 1
# Uncorrected energy   -4.39 eV/atom
# Excess energy over the best structure of this formula in the dataset   0.141 eV/atom
# M_tot   0.000 μB/atom
# ΔE_f   -397.2 meV/atom